Record 1
! ZrPdIN2, relaxed, DFT GGA-PBE; values from VASP
&SYSTEM
  ibrav = 0, nat = 5, ntyp = 4
/
ATOMIC_SPECIES
Zr 91.22 Zr.upf
Pd 106.42 Pd.upf
I 126.90 I.upf
N 14.01 N.upf
CELL_PARAMETERS angstrom
4.151 0.000 0.000
0.000 4.151 0.000
0.000 0.000 5.085
ATOMIC_POSITIONS crystal
Zr 0.000 0.000 0.000
Pd 0.500 0.500 0.500
I 0.500 0.500 0.000
N 0.000 0.500 0.500
N 0.500 0.000 0.500
! Formation energy (no corrections), meV per atom: 1387
! Theoretical density, g/cm3: 6.68
! Space group: P4/mmm (123)
! ΔE to the lowest computed polymorph, meV/atom: 879
! V, A^3/atom: 17.52



Record 2
! BaAlInAu6, relaxed, DFT GGA-PBE; values from VASP
&SYSTEM
  ibrav = 0, nat = 18, ntyp = 4
/
ATOMIC_SPECIES
Ba 137.33 Ba.upf
Al 26.98 Al.upf
In 114.82 In.upf
Au 196.97 Au.upf
CELL_PARAMETERS angstrom
-4.169 4.565 6.651
4.169 -4.565 6.651
4.169 4.565 -6.651
ATOMIC_POSITIONS crystal
Ba 0.389 0.139 0.250
Ba 0.611 0.861 0.750
Al 0.000 0.500 0.500
Al 0.500 0.500 0.000
In 0.000 0.000 0.500
In 0.000 0.500 0.000
Au 0.138 0.888 0.250
Au 0.168 0.477 0.333
Au 0.168 0.835 0.691
Au 0.332 0.582 0.750
Au 0.356 0.165 0.833
Au 0.356 0.523 0.191
Au 0.644 0.477 0.809
Au 0.644 0.835 0.167
Au 0.668 0.418 0.250
Au 0.832 0.165 0.309
Au 0.832 0.523 0.667
Au 0.862 0.112 0.750
! E, eV for the cell shown: -59.66
! Theoretical density, g/cm3: 9.58
! Space group: Imma (74)
! V, A^3/atom: 28.13



Record 3
! Li2GaPd, relaxed, DFT GGA-PBE; values from VASP
&SYSTEM
  ibrav = 0, nat = 4, ntyp = 3
/
ATOMIC_SPECIES
Li 6.94 Li.upf
Ga 69.72 Ga.upf
Pd 106.42 Pd.upf
CELL_PARAMETERS angstrom
1.429 0.825 8.716
-1.429 0.825 8.716
0.000 -1.650 8.716
ATOMIC_POSITIONS crystal
Li 0.000 0.000 0.000
Li 0.177 0.177 0.177
Ga 0.422 0.422 0.422
Pd 0.589 0.589 0.589
! E, eV for the cell shown: -13.19
! Theoretical density, g/cm3: 5.12
! Space group: R3m (160)
! V, A^3/atom: 15.41



Record 4
! SrB2Os2, relaxed, DFT GGA-PBE; values from VASP
&SYSTEM
  ibrav = 0, nat = 10, ntyp = 3
/
ATOMIC_SPECIES
Sr 87.62 Sr.upf
B 10.81 B.upf
Os 190.23 Os.upf
CELL_PARAMETERS angstrom
7.173 0.000 0.000
0.000 7.173 0.000
0.000 0.000 2.730
ATOMIC_POSITIONS crystal
Sr 0.000 0.000 0.000
Sr 0.500 0.500 0.000
B 0.128 0.372 0.500
B 0.372 0.872 0.500
B 0.628 0.128 0.500
B 0.872 0.628 0.500
Os 0.129 0.629 0.000
Os 0.371 0.129 0.000
Os 0.629 0.871 0.000
Os 0.871 0.371 0.000
! E, eV for the cell shown: -67.77
! Theoretical density, g/cm3: 11.58
! Space group: P4/mbm (127)
! V, A^3/atom: 14.05



Record 5
! TbTh2Sc7, relaxed, DFT GGA-PBE; values from VASP
&SYSTEM
  ibrav = 0, nat = 10, ntyp = 3
/
ATOMIC_SPECIES
Tb 158.93 Tb.upf
Th 232.04 Th.upf
Sc 44.96 Sc.upf
CELL_PARAMETERS angstrom
7.869 -1.680 0.000
7.869 1.680 0.000
-3.434 0.000 10.142
ATOMIC_POSITIONS crystal
Tb 0.000 0.000 0.000
Th 0.283 0.283 0.874
Th 0.717 0.717 0.126
Sc 0.000 0.000 0.500
Sc 0.105 0.105 0.304
Sc 0.311 0.311 0.428
Sc 0.417 0.417 0.215
Sc 0.583 0.583 0.785
Sc 0.689 0.689 0.572
Sc 0.895 0.895 0.696
! Theoretical density, g/cm3: 5.81
! Space group: C2/m (12)
! ΔE to the lowest computed polymorph, meV/atom: 0
! V, A^3/atom: 26.82



Record 6
! MnAg2PbBr6, relaxed, DFT GGA-PBE; values from VASP
&SYSTEM
  ibrav = 0, nat = 10, ntyp = 4
/
ATOMIC_SPECIES
Mn 54.94 Mn.upf
Ag 107.87 Ag.upf
Pb 207.20 Pb.upf
Br 79.90 Br.upf
CELL_PARAMETERS angstrom
3.612 2.085 6.776
-3.612 2.085 6.776
0.000 -4.170 6.776
ATOMIC_POSITIONS crystal
Mn 0.000 0.000 0.000
Ag 0.263 0.263 0.263
Ag 0.678 0.678 0.678
Pb 0.485 0.485 0.485
Br 0.073 0.770 0.379
Br 0.238 0.628 0.897
Br 0.379 0.073 0.770
Br 0.628 0.897 0.238
Br 0.770 0.379 0.073
Br 0.897 0.238 0.628
! Formation energy (no corrections), meV per atom: -610
! Theoretical density, g/cm3: 5.19
! Space group: R3 (146)
! V, A^3/atom: 30.61



- Number 6 is which compound?
  MnAg2PbBr6



- The lowest V belongs to which entry?
  SrB2Os2